[1]
A relaxed MgTlV2Os crystal. Source: Alexandria, functional PBE.

a = 4.7599 Å, b = 4.7599 Å, c = 5.2278 Å
α = 90.00°, β = 90.00°, γ = 90.00°
Last column: nearest neighbours and their distance in Å.
Space group P4/mmm (No. 123)
One atom of each set of equivalent atoms:
Mg  0.0000  0.0000  0.0000 x1  4 Tl 3.37, 8 V 3.54
Tl  0.5000  0.5000  0.0000 x1  2 Os 2.61
V  0.0000  0.5000  0.5000 x2  2 Os 2.38
Os  0.5000  0.5000  0.5000 x1  4 V 2.38, 2 Tl 2.61

Computed properties:
Energy relative to the elements (eV/atom): 0.907
Total moment (μB/atom): 0.89



[2]
A relaxed TmMgOs crystal. Source: Alexandria, functional PBE.

a = 3.3970 Å, b = 3.3970 Å, c = 10.4661 Å
α = 90.00°, β = 90.00°, γ = 90.00°
Last column: nearest neighbours and their distance in Å.
Space group I4mm (No. 107)
One atom of each set of equivalent atoms:
Tm  0.0000  0.0000  0.0000 x2  4 Os 2.86, 1 Mg 2.93
Mg  0.0000  0.0000  0.7198 x2  4 Os 2.77, 1 Tm 2.93
Os  0.0000  0.0000  0.3523 x2  4 Mg 2.77, 4 Tm 2.86

Computed properties:
Energy relative to the elements (eV/atom): -0.031
Total moment (μB/atom): 0.00



[3]
A relaxed TmMgOs crystal. Source: Alexandria, functional PBE.

a = 4.7349 Å, b = 10.0726 Å, c = 5.2069 Å
α = 90.00°, β = 90.00°, γ = 90.00°
Last column: nearest neighbours and their distance in Å.
Space group Cmcm (No. 63)
One atom of each set of equivalent atoms:
Tm  0.0000  0.2446  0.2500 x4  2 Os 2.88, 5 Mg 3.07-3.20
Mg  0.0000  0.0597  0.7500 x4  4 Os 2.77, 2 Mg 2.87, 3 Tm 3.07-3.08
Os  0.0000  0.5000  0.0000 x4  2 Os 2.60, 4 Mg 2.77, 2 Tm 2.88

Computed properties:
Energy relative to the elements (eV/atom): 0.050
Total moment (μB/atom): 0.00



[4]
A relaxed Tm7Mg2Os2 crystal. Source: Alexandria, functional PBE.

a = 8.2075 Å, b = 10.6831 Å, c = 7.1163 Å
α = 90.00°, β = 90.00°, γ = 90.00°
Last column: nearest neighbours and their distance in Å.
Space group Cmmm (No. 65)
One atom of each set of equivalent atoms:
Tm  0.0000  0.0000  0.0000 x2  2 Os 3.06
Tm  0.0000  0.5000  0.2349 x4  2 Os 2.83
Tm  0.2500  0.2500  0.2436 x8  2 Os 2.71
Mg  0.1729  0.0000  0.5000 x4  1 Mg 2.84
Os  0.0000  0.2866  0.0000 x4  6 Tm 2.71-2.83

Computed properties:
Energy relative to the elements (eV/atom): -0.043
Total moment (μB/atom): 0.00



[5]
A relaxed Tm6MgOs crystal. Source: Alexandria, functional PBE.

a = 6.8244 Å, b = 6.8332 Å, c = 7.3611 Å
α = 90.09°, β = 117.51°, γ = 119.94°
Last column: nearest neighbours and their distance in Å.
Space group P-1 (No. 2)
One atom of each set of equivalent atoms:
Tm  0.0497  0.0790  0.2558 x2  1 Os 2.65
Tm  0.2850  0.7059  0.2555 x2  1 Os 2.65
Tm  0.3223  0.5289  0.7446 x2  1 Os 2.65
Mg  0.5000  0.0000  0.0000 x1  6 Tm 3.06
Os  0.5000  0.5000  0.5000 x1  6 Tm 2.65

Computed properties:
Energy relative to the elements (eV/atom): 0.151
Total moment (μB/atom): 0.00



[6]
A relaxed TmMgOs4 crystal. Source: Alexandria, functional PBE.

a = 7.4449 Å, b = 7.4449 Å, c = 7.4449 Å
α = 90.00°, β = 90.00°, γ = 90.00°
Last column: nearest neighbours and their distance in Å.
Space group F-43m (No. 216)
One atom of each set of equivalent atoms:
Tm  0.0000  0.0000  0.0000 x4  12 Os 3.09, 4 Mg 3.22
Mg  0.2500  0.2500  0.2500 x4  12 Os 3.09, 4 Tm 3.22
Os  0.1247  0.1247  0.6247 x16  6 Os 2.63-2.64

Computed properties:
Energy relative to the elements (eV/atom): -0.055
Total moment (μB/atom): 0.00